Record 1
This record from Alexandria via LeMat-Bulk describes a geometry-optimized Pm3SmAg structure. The functional is PBE-GGA.

Structure (extended XYZ):
```
10
Lattice="7.238 -0.115 -0.542 -2.091 6.931 0.542 -3.290 -2.867 6.849" Properties=species:S:1:pos:R:3 pbc="T T T"
Pm 3.192 6.097 1.431
Pm 0.157 2.077 1.431
Pm 1.701 1.871 5.418
Pm 3.805 2.478 1.171
Pm -1.334 -2.148 5.418
Pm -1.947 1.471 5.678
Sm 2.277 -1.719 4.909
Sm -0.419 5.668 1.940
Ag 1.852 3.953 3.098
Ag 0.006 -0.005 3.751
```

Computed properties:
* calculated density: 6.8 Mg/m³
* crystal system: monoclinic
* E_form: 0.06 eV per atom
* SG: C2/m
* M_tot: 0.00 μB/cell
* calculated total energy: -4.305 eV/atom

Record 2
This record from Alexandria via LeMat-Bulk describes a geometry-optimized Pm3SmAg7 structure. The functional is PBE-GGA.

Structure (extended XYZ):
```
22
Lattice="3.875 0.000 0.000 -1.937 10.988 0.000 0.000 0.000 13.180" Properties=species:S:1:pos:R:3 pbc="T T T"
Pm 0.000 3.027 5.930
Pm 1.937 7.962 7.250
Pm 0.000 4.316 9.885
Pm 1.937 6.672 3.295
Pm 0.000 3.027 0.660
Pm 1.937 7.962 12.520
Sm 1.937 10.902 3.295
Sm 0.000 0.086 9.885
Ag 0.000 8.366 9.885
Ag 1.937 2.622 3.295
Ag 1.937 0.723 5.503
Ag 0.000 10.265 7.677
Ag 0.000 10.265 12.093
Ag 1.937 0.723 1.087
Ag 0.000 8.795 4.782
Ag 1.937 2.193 8.399
Ag 0.000 6.076 5.716
Ag 1.937 4.912 7.464
Ag 1.937 4.912 12.306
Ag 0.000 6.076 0.874
Ag 0.000 8.795 1.808
Ag 1.937 2.193 11.372
```

Computed properties:
* calculated density: 7.9 Mg/m³
* crystal system: orthorhombic
* E_form: -0.15 eV per atom
* SG: Cmcm
* M_tot: 0.00 μB/cell
* calculated total energy: -3.690 eV/atom

Record 3
This record from Alexandria via LeMat-Bulk describes a geometry-optimized PmSm6Ag2 structure. The functional is PBE-GGA.

Structure (extended XYZ):
```
9
Lattice="-0.968 2.244 2.836 -6.548 -0.689 0.782 -1.086 -8.135 8.538" Properties=species:S:1:pos:R:3 pbc="T T T"
Pm 0.000 0.000 0.000
Sm -4.095 0.184 3.400
Sm -4.506 -6.764 8.757
Sm -6.091 -4.621 6.521
Sm -5.947 -1.016 6.189
Sm -2.654 -5.563 5.968
Sm -2.510 -1.958 5.636
Ag -1.153 -0.942 2.824
Ag -7.448 -5.637 9.333
```

Computed properties:
* calculated density: 7.7 Mg/m³
* crystal system: monoclinic
* E_form: -0.11 eV per atom
* SG: C2/m
* M_tot: 0.00 μB/cell
* calculated total energy: -4.413 eV/atom

Record 4
This record from Alexandria via LeMat-Bulk describes a geometry-optimized Pm2SmAg2Sn2 structure. The functional is PBE-GGA.

Structure (extended XYZ):
```
7
Lattice="-0.876 4.756 -0.233 -3.784 1.643 -2.533 -6.884 1.523 6.645" Properties=species:S:1:pos:R:3 pbc="T T T"
Pm -4.833 1.757 3.734
Pm -6.711 6.165 0.145
Sm 0.000 0.000 0.000
Ag -4.160 4.146 -0.350
Ag -7.385 3.776 4.228
Sn -8.859 5.919 3.194
Sn -2.685 2.004 0.684
```

Computed properties:
* calculated density: 7.9 Mg/m³
* crystal system: trigonal
* E_form: -0.42 eV per atom
* SG: R-3m
* M_tot: 0.00 μB/cell
* calculated total energy: -4.410 eV/atom

Record 5
This record from Alexandria via LeMat-Bulk describes a geometry-optimized TbPmSmAg structure. The functional is PBE-GGA.

Structure (extended XYZ):
```
4
Lattice="5.458 0.000 0.000 2.729 4.727 0.000 2.729 1.576 4.457" Properties=species:S:1:pos:R:3 pbc="T T T"
Tb 8.187 4.727 3.342
Ag 0.000 0.000 0.000
Sm 2.729 1.576 1.114
Pm 5.458 3.151 2.228
```

Computed properties:
* calculated density: 8.1 Mg/m³
* crystal system: cubic
* excess energy over the best structure of this formula in the dataset: 0.881 eV per formula unit
* E_form: 0.10 eV per atom
* SG: F-43m
* M_tot: 0.00 μB/cell
* calculated total energy: -4.140 eV/atom

Record 6
This record from Alexandria via LeMat-Bulk describes a geometry-optimized TbPmSmAg structure. The functional is PBE-GGA.

Structure (extended XYZ):
```
4
Lattice="3.657 0.000 0.000 0.000 3.657 0.000 0.000 0.000 8.826" Properties=species:S:1:pos:R:3 pbc="T T T"
Tb 1.829 1.829 3.194
Pm 0.000 0.000 0.663
Sm 1.829 1.829 6.918
Ag 0.000 0.000 4.977
```

Computed properties:
* calculated density: 7.9 Mg/m³
* crystal system: tetragonal
* excess energy over the best structure of this formula in the dataset: 0.000 eV per formula unit
* E_form: -0.12 eV per atom
* SG: P4mm
* M_tot: 0.00 μB/cell
* calculated total energy: -4.360 eV/atom

Record 7
This record from Alexandria via LeMat-Bulk describes a geometry-optimized PmSmTcAg structure. The functional is PBE-GGA.

Structure (extended XYZ):
```
4
Lattice="-1.196 4.034 -2.854 -3.657 3.191 1.514 1.204 4.680 1.581" Properties=species:S:1:pos:R:3 pbc="T T T"
Tc -2.737 8.928 0.180
Ag -0.912 2.976 0.060
Sm -1.825 5.952 0.120
Pm 0.000 0.000 0.000
```

Computed properties:
* calculated density: 9.0 Mg/m³
* crystal system: cubic
* E_form: -0.02 eV per atom
* SG: F-43m
* M_tot: 0.00 μB/cell
* calculated total energy: -5.688 eV/atom

Record 8
This record from Alexandria via LeMat-Bulk describes a geometry-optimized PmSmAgTe structure. The functional is PBE-GGA.

Structure (extended XYZ):
```
4
Lattice="-0.796 -4.724 -2.379 4.023 -2.411 -2.572 2.206 -4.426 2.038" Properties=species:S:1:pos:R:3 pbc="T T T"
Te 1.358 -2.890 -0.728
Ag 4.074 -8.671 -2.185
Sm 2.716 -5.781 -1.456
Pm 0.000 0.000 0.000
```

Computed properties:
* calculated density: 8.1 Mg/m³
* crystal system: cubic
* SG: F-43m
* M_tot: 0.90 μB/cell
* calculated total energy: -4.486 eV/atom

Record 9
This record from Alexandria via LeMat-Bulk describes a geometry-optimized Pm2SmTl2Ag2 structure. The functional is PBE-GGA.

Structure (extended XYZ):
```
7
Lattice="4.939 0.000 0.000 2.469 4.277 0.000 2.469 1.426 9.117" Properties=species:S:1:pos:R:3 pbc="T T T"
Pm 2.469 1.426 5.704
Pm 7.408 4.277 3.414
Sm 0.000 0.000 0.000
Tl 7.408 4.277 7.142
Tl 2.469 1.426 1.975
Ag 4.939 2.851 1.697
Ag 4.939 2.851 7.421
```

Computed properties:
* calculated density: 9.2 Mg/m³
* crystal system: trigonal
* E_form: -0.20 eV per atom
* SG: R-3m
* M_tot: 0.00 μB/cell
* calculated total energy: -3.721 eV/atom

Record 10
This record from Alexandria via LeMat-Bulk describes a geometry-optimized PmSmYAg structure. The functional is PBE-GGA.

Structure (extended XYZ):
```
4
Lattice="5.461 0.000 0.000 2.731 4.730 0.000 2.731 1.577 4.459" Properties=species:S:1:pos:R:3 pbc="T T T"
Y 8.192 4.730 3.344
Ag 0.000 0.000 0.000
Sm 2.731 1.577 1.115
Pm 5.461 3.153 2.230
```

Computed properties:
* calculated density: 7.1 Mg/m³
* crystal system: cubic
* excess energy over the best structure of this formula in the dataset: 0.892 eV per formula unit
* E_form: 0.10 eV per atom
* SG: F-43m
* M_tot: 0.00 μB/cell
* calculated total energy: -4.598 eV/atom

Record 11
This record from Alexandria via LeMat-Bulk describes a geometry-optimized PmSmYAg structure. The functional is PBE-GGA.

Structure (extended XYZ):
```
4
Lattice="3.668 0.000 0.000 0.000 3.668 0.000 0.000 0.000 8.752" Properties=species:S:1:pos:R:3 pbc="T T T"
Pm 0.000 0.000 0.645
Sm 1.834 1.834 6.855
Y 1.834 1.834 3.178
Ag 0.000 0.000 4.941
```

Computed properties:
* calculated density: 6.9 Mg/m³
* crystal system: tetragonal
* excess energy over the best structure of this formula in the dataset: 0.000 eV per formula unit
* E_form: -0.13 eV per atom
* SG: P4mm
* M_tot: 0.00 μB/cell
* calculated total energy: -4.821 eV/atom

Record 12
This record from Alexandria via LeMat-Bulk describes a geometry-optimized PmSmZnAg structure. The functional is PBE-GGA.

Structure (extended XYZ):
```
4
Lattice="-2.275 -2.325 -4.083 2.571 -0.436 -4.523 1.677 -4.675 -1.610" Properties=species:S:1:pos:R:3 pbc="T T T"
Zn 0.493 -1.859 -2.554
Ag 1.479 -5.577 -7.661
Sm 0.000 0.000 0.000
Pm 0.986 -3.718 -5.107
```

Computed properties:
* calculated density: 7.7 Mg/m³
* crystal system: cubic
* E_form: -0.29 eV per atom
* SG: F-43m
* M_tot: 0.00 μB/cell
* calculated total energy: -3.685 eV/atom